1.
Rb4CdHg12 after structural relaxation. Source: Alexandria via LeMat-Bulk, functional GGA-PBE.

Cell lengths 9.063, 9.063, 9.063 Å; angles 109.47, 109.47, 109.47 degrees
Positions (direct):
Rb 0.000 0.000 0.500
Rb 0.000 0.500 0.000
Rb 0.500 0.000 0.000
Rb 0.500 0.500 0.500
Cd 0.000 0.000 0.000
Hg 0.000 0.302 0.302
Hg 0.000 0.698 0.698
Hg 0.250 0.500 0.750
Hg 0.250 0.750 0.500
Hg 0.302 0.000 0.302
Hg 0.302 0.302 0.000
Hg 0.500 0.250 0.750
Hg 0.500 0.750 0.250
Hg 0.698 0.000 0.698
Hg 0.698 0.698 0.000
Hg 0.750 0.250 0.500
Hg 0.750 0.500 0.250

Properties
**Electronic total energy**: -0.68 eV/atom
**SG**: Im-3m


2.
ZnCuTc4 after structural relaxation. Source: Alexandria via LeMat-Bulk, functional GGA-PBE.

Cell lengths 5.098, 5.098, 5.098 Å; angles 60.00, 60.00, 60.00 degrees
Positions (direct):
Zn 0.000 0.000 0.000
Cu 0.750 0.750 0.750
Tc 0.375 0.375 0.375
Tc 0.375 0.375 0.874
Tc 0.375 0.874 0.375
Tc 0.874 0.375 0.375

Properties
**Electronic total energy**: -7.27 eV/atom
**SG**: F-43m